1.
{
  "formula": "Li3FeOF3",
  "functional": "SCAN",
  "state": "single point on PBEsol structure",
  "cell": [[5.8824, 0.0000, 0.0000], [-2.9412, 5.1115, -0.0786], [0.0000, 3.2208, 4.6710]],
  "species": ["Li", "Li", "Li", "Li", "Li", "Li", "Fe", "Fe", "O", "O", "F", "F", "F", "F", "F", "F"],
  "fractional_positions": [[0.5000, 0.0000, 0.0000], [0.0000, 0.0000, 0.5000], [0.5000, 0.0000, 0.5000], [0.0000, 0.0000, 0.0000], [0.0000, 0.5000, 0.0000], [0.0000, 0.5000, 0.5000], [0.5000, 0.5000, 0.0000], [0.5000, 0.5000, 0.5000], [0.2783, 0.5000, 0.2500], [0.7217, 0.5000, 0.7500], [0.2134, 0.5000, 0.7500], [0.7866, 0.5000, 0.2500], [0.2409, 0.9817, 0.7591], [0.7591, 0.0183, 0.7409], [0.2409, 0.9817, 0.2591], [0.7591, 0.0183, 0.2409]],
  "m_tot_mub_per_fu": 4.000,
  "e_form_raw_ev_per_atom": -2.57,
  "final_energy_ev_per_atom": -7.839
}

---

2.
{
  "formula": "MoRuN2O",
  "functional": "SCAN",
  "state": "single point on PBEsol structure",
  "cell": [[-2.0214, -0.9742, -3.0281], [2.9707, -2.2222, -1.2682], [-1.4576, -3.0670, 1.9597]],
  "species": ["Ru", "Mo", "O", "N", "N"],
  "fractional_positions": [[0.5000, 0.5000, 0.5000], [0.0000, 0.0000, 0.0000], [0.5000, 0.0000, 0.0000], [0.0000, 0.0000, 0.5000], [0.0000, 0.5000, 0.0000]],
  "m_tot_mub_per_fu": 3.388,
  "e_form_raw_ev_per_atom": 0.36,
  "final_energy_ev_per_atom": -18.545
}

---

3.
{
  "formula": "In3NiMo",
  "functional": "SCAN",
  "state": "single point on PBEsol structure",
  "cell": [[-1.7934, -2.0995, 3.8781], [1.2172, -4.2596, -1.7431], [4.2387, 0.3349, 2.1414]],
  "species": ["Ni", "Mo", "In", "In", "In"],
  "fractional_positions": [[0.0000, 0.0000, 0.0000], [0.5000, 0.5000, 0.5000], [0.0000, 0.5000, 0.0000], [0.0000, 0.0000, 0.5000], [0.5000, 0.0000, 0.0000]],
  "m_tot_mub_per_fu": 4.093,
  "ef_ev_per_atom": 0.649,
  "final_energy_ev_per_atom": -29.595
}

---

4.
{
  "formula": "Nb4VS8",
  "functional": "SCAN",
  "state": "single point on PBEsol structure",
  "cell": [[-1.5202, 5.5074, -3.2970], [-4.1881, -5.0963, 0.0169], [-5.3181, 4.4028, 9.8067]],
  "species": ["Nb", "Nb", "Nb", "Nb", "Nb", "Nb", "Nb", "Nb", "V", "V", "S", "S", "S", "S", "S", "S", "S", "S", "S", "S", "S", "S", "S", "S", "S", "S"],
  "fractional_positions": [[0.0000, 0.0000, 0.2500], [0.0000, 0.0000, 0.7500], [0.5049, 0.4951, 0.2500], [0.9902, 0.4951, 0.2500], [0.5049, 0.0098, 0.2500], [0.4951, 0.5049, 0.7500], [0.0098, 0.5049, 0.7500], [0.4951, 0.9902, 0.7500], [0.0000, 0.0000, 0.0000], [0.0000, 0.0000, 0.5000], [0.3333, 0.6667, 0.6166], [0.6667, 0.3333, 0.3834], [0.6667, 0.3333, 0.1166], [0.3333, 0.6667, 0.8834], [0.1665, 0.8335, 0.1188], [0.6670, 0.8335, 0.1188], [0.1665, 0.3330, 0.1188], [0.8335, 0.1665, 0.8812], [0.3330, 0.1665, 0.8812], [0.8335, 0.6670, 0.8812], [0.8335, 0.1665, 0.6188], [0.3330, 0.1665, 0.6188], [0.8335, 0.6670, 0.6188], [0.1665, 0.8335, 0.3812], [0.6670, 0.8335, 0.3812], [0.1665, 0.3330, 0.3812]],
  "m_tot_mub_per_fu": 1.825,
  "e_form_raw_ev_per_atom": -1.30,
  "final_energy_ev_per_atom": -18.768
}

---

5.
{
  "formula": "LiHgBr2",
  "functional": "SCAN",
  "state": "single point on PBEsol structure",
  "cell": [[5.1351, 0.0000, 0.0000], [2.5676, 4.4471, 0.0000], [2.5676, 1.4824, 4.1928]],
  "species": ["Br", "Br", "Hg", "Li"],
  "fractional_positions": [[0.2500, 0.2500, 0.2500], [0.7500, 0.7500, 0.7500], [0.5000, 0.5000, 0.5000], [0.0000, 0.0000, 0.0000]],
  "m_tot_mub_per_fu": 0.000,
  "relative_energy_ev_per_fu": 0.75,
  "e_form_raw_ev_per_atom": -0.63,
  "final_energy_ev_per_atom": -27.998
}

---

6.
{
  "formula": "MnZnBi2S",
  "functional": "SCAN",
  "state": "single point on PBEsol structure",
  "cell": [[4.0366, 0.0000, 0.0000], [0.0000, 5.3571, 0.0000], [0.0000, 0.0000, 5.3571]],
  "species": ["S", "Zn", "Mn", "Bi", "Bi"],
  "fractional_positions": [[0.5000, 0.0000, 0.0000], [0.5000, 0.5000, 0.5000], [0.0000, 0.0000, 0.0000], [0.0000, 0.0000, 0.5000], [0.0000, 0.5000, 0.0000]],
  "m_tot_mub_per_fu": 2.284,
  "e_form_raw_ev_per_atom": 0.28,
  "final_energy_ev_per_atom": -39.431
}